Compound: SiSbW2
Source: Alexandria via LeMat-Bulk
Functional: PBE
Structure: optimized geometry

a = 3.1811 Å, b = 3.5717 Å, c = 6.0562 Å
α = 90.00°, β = 99.13°, γ = 90.00°
Last column: nearest neighbours and their distance in Å.
Fractional positions:
Si 0.0000 0.0000 0.0000  4 W 2.44
Sb 0.0000 0.0000 0.5000  8 W 2.86-2.97, 2 Si 3.03, 2 Sb 3.18
W 0.3823 0.5000 0.2215  2 Si 2.44
W 0.6177 0.5000 0.7785  2 Si 2.44

## Properties
formation energy from raw total energies	0.490	eV/atom
total magnetic moment	0.00	μB per atom
space-group type	P2/m